Entry 1:
KNa2ScI after structural relaxation, computed with GGA-PBE.

Its raw formation energy is 661 meV per atom. The value obtained for the calculated total energy is -1.66 eV/atom.

Unit cell a=6.2635 b=6.2635 c=6.5133 alpha=90.00 beta=90.00 gamma=90.00
Last column: nearest neighbours and their distance in Å.
Fractional coordinates of all 5 atoms:
K 0.0000 0.0000 0.0000  4 Na 3.13, 2 Sc 3.26
Na 0.0000 0.5000 0.0000  2 K 3.13
Na 0.5000 0.0000 0.0000  2 K 3.13
Sc 0.0000 0.0000 0.5000  2 K 3.26
I 0.5000 0.5000 0.5000  4 Sc 4.43, 8 Na 4.52

---

Entry 2:
KNa2SeI after structural relaxation, computed with GGA-PBE.

Its raw formation energy is -1111 meV per atom. The value obtained for the calculated total energy is -2.86 eV/atom.

Unit cell a=5.4764 b=5.4764 c=6.3773 alpha=90.00 beta=90.00 gamma=90.00
Last column: nearest neighbours and their distance in Å.
Fractional coordinates of all 5 atoms:
K 0.0000 0.0000 0.0000  2 Se 3.19
Na 0.0000 0.5000 0.5000  2 Se 2.74
Na 0.5000 0.0000 0.5000  2 Se 2.74
Se 0.0000 0.0000 0.5000  4 Na 2.74
I 0.5000 0.5000 0.0000  4 K 3.87, 8 Na 4.20

---

Entry 3:
KNaSm2I8 after structural relaxation, computed with GGA-PBE.

Its raw formation energy is -1315 meV per atom. The value obtained for the calculated total energy is -3.34 eV/atom.

Unit cell a=8.1859 b=8.1859 c=9.2539 alpha=90.00 beta=90.00 gamma=120.00
Last column: nearest neighbours and their distance in Å.
Fractional coordinates of all 12 atoms:
K 0.0000 0.0000 0.0000  6 I 4.22, 2 Na 4.63
Na 0.0000 0.0000 0.5000  6 I 3.18
Sm 0.3333 0.6667 0.4061  7 I 3.00-3.30
Sm 0.6667 0.3333 0.5939  7 I 3.00-3.30
I 0.0636 0.3715 0.6601  2 Sm 3.16-3.30, 1 Na 3.18
I 0.3079 0.9364 0.6601  2 Sm 3.16-3.30, 1 Na 3.18
I 0.3333 0.6667 0.0814  1 Sm 3.00
I 0.3715 0.3079 0.3399  2 Sm 3.16-3.30, 1 Na 3.18
I 0.6285 0.6921 0.6601  2 Sm 3.16-3.30, 1 Na 3.18
I 0.6667 0.3333 0.9186  1 Sm 3.00
I 0.6921 0.0636 0.3399  2 Sm 3.16-3.30, 1 Na 3.18
I 0.9364 0.6285 0.3399  2 Sm 3.16-3.30, 1 Na 3.18

---

Entry 4:
KNa2SmI6 after structural relaxation, computed with GGA-PBE.

Its raw formation energy is -1354 meV per atom. The value obtained for the calculated total energy is -3.13 eV/atom.

Unit cell a=8.8803 b=8.8803 c=8.8803 alpha=55.07 beta=55.07 gamma=55.07
Last column: nearest neighbours and their distance in Å.
Fractional coordinates of all 10 atoms:
K 0.0000 0.0000 0.0000  6 I 3.47-3.65
Na 0.2973 0.2973 0.2973  6 I 3.27-3.33
Na 0.8088 0.8088 0.8088  6 I 3.20-3.32
Sm 0.4864 0.4864 0.4864  6 I 3.11-3.12
I 0.0872 0.6729 0.4374  1 Sm 3.12, 2 Na 3.20-3.33, 1 K 3.47
I 0.2325 0.5688 0.8760  1 Sm 3.11, 2 Na 3.27-3.32
I 0.4374 0.0872 0.6729  1 Sm 3.12, 2 Na 3.20-3.33, 1 K 3.47
I 0.5688 0.8760 0.2325  1 Sm 3.11, 2 Na 3.27-3.32
I 0.6729 0.4374 0.0872  1 Sm 3.12, 2 Na 3.20-3.33, 1 K 3.47
I 0.8760 0.2325 0.5688  1 Sm 3.11, 2 Na 3.27-3.32

---

Question: Which value of calculated total energy does entry 2 give?
Answer: -2.86 eV/atom

---

Question: The lowest raw formation energy belongs to which entry?
Answer: KNa2SmI6

---

What did the fourth record say?
KNa2SmI6 after structural relaxation, computed with GGA-PBE.

Its raw formation energy is -1354 meV per atom. The value obtained for the calculated total energy is -3.13 eV/atom.

Unit cell a=8.8803 b=8.8803 c=8.8803 alpha=55.07 beta=55.07 gamma=55.07
Last column: nearest neighbours and their distance in Å.
Fractional coordinates of all 10 atoms:
K 0.0000 0.0000 0.0000  6 I 3.47-3.65
Na 0.2973 0.2973 0.2973  6 I 3.27-3.33
Na 0.8088 0.8088 0.8088  6 I 3.20-3.32
Sm 0.4864 0.4864 0.4864  6 I 3.11-3.12
I 0.0872 0.6729 0.4374  1 Sm 3.12, 2 Na 3.20-3.33, 1 K 3.47
I 0.2325 0.5688 0.8760  1 Sm 3.11, 2 Na 3.27-3.32
I 0.4374 0.0872 0.6729  1 Sm 3.12, 2 Na 3.20-3.33, 1 K 3.47
I 0.5688 0.8760 0.2325  1 Sm 3.11, 2 Na 3.27-3.32
I 0.6729 0.4374 0.0872  1 Sm 3.12, 2 Na 3.20-3.33, 1 K 3.47
I 0.8760 0.2325 0.5688  1 Sm 3.11, 2 Na 3.27-3.32